No. 1
Li2BIr2 after structural relaxation. Source: the Alexandria database, functional GGA-PBEsol.

Output
Crystal system: tetragonal
Energy of formation from the pure elements: -265 meV/atom
Volume: 130.73 Å³/cell

Unit cell a=5.500 b=5.500 c=4.322 alpha=90.00 beta=90.00 gamma=90.00
Element x y z (fractional)
Li1 0.161 0.339 0.000
Li2 0.339 0.839 0.000
Li3 0.661 0.161 0.000
Li4 0.839 0.661 0.000
B1 0.000 0.000 0.500
B2 0.500 0.500 0.500
Ir1 0.162 0.662 0.500
Ir2 0.338 0.162 0.500
Ir3 0.662 0.838 0.500
Ir4 0.838 0.338 0.500

***

No. 2
LuB2Ir3 after structural relaxation. Source: the Alexandria database, functional GGA-PBEsol.

Output
Crystal system: hexagonal
Energy of formation from the pure elements: -703 meV/atom
Volume: 78.16 Å³/cell

Unit cell a=5.378 b=5.378 c=3.120 alpha=90.00 beta=90.00 gamma=120.00
Element x y z (fractional)
Lu1 0.000 0.000 0.000
B1 0.333 0.667 0.000
B2 0.667 0.333 0.000
Ir1 0.000 0.500 0.500
Ir2 0.500 0.000 0.500
Ir3 0.500 0.500 0.500

***

No. 3
YLuB8Ir8 after structural relaxation. Source: the Alexandria database, functional GGA-PBEsol.

Output
Crystal system: tetragonal
Energy of formation from the pure elements: -537 meV/atom
Volume: 211.42 Å³/cell

Unit cell a=5.350 b=5.350 c=7.387 alpha=90.00 beta=90.00 gamma=90.00
Element x y z (fractional)
Y1 0.000 0.000 0.000
Lu1 0.500 0.500 0.500
B1 0.000 0.327 0.347
B2 0.000 0.673 0.347
B3 0.172 0.500 0.847
B4 0.327 0.000 0.653
B5 0.500 0.172 0.153
B6 0.500 0.828 0.153
B7 0.673 0.000 0.653
B8 0.828 0.500 0.847
Ir1 0.000 0.249 0.643
Ir2 0.000 0.751 0.643
Ir3 0.249 0.000 0.357
Ir4 0.252 0.500 0.146
Ir5 0.500 0.252 0.854
Ir6 0.500 0.748 0.854
Ir7 0.748 0.500 0.146
Ir8 0.751 0.000 0.357

***

No. 4
Mg10B16Ir19 after structural relaxation. Source: the Alexandria database, functional GGA-PBEsol.

Output
Crystal system: cubic
Energy of formation from the pure elements: -461 meV/atom
Volume: 587.85 Å³/cell

Unit cell a=9.140 b=9.140 c=9.140 alpha=109.47 beta=109.47 gamma=109.47
Element x y z (fractional)
Mg1 0.000 0.000 0.666
Mg2 0.000 0.347 0.347
Mg3 0.000 0.653 0.653
Mg4 0.000 0.666 0.000
Mg5 0.334 0.334 0.334
Mg6 0.347 0.000 0.347
Mg7 0.347 0.347 0.000
Mg8 0.653 0.000 0.653
Mg9 0.653 0.653 0.000
Mg10 0.666 0.000 0.000
B1 0.000 0.000 0.223
B2 0.000 0.223 0.000
B3 0.000 0.248 0.576
B4 0.000 0.576 0.248
B5 0.223 0.000 0.000
B6 0.248 0.000 0.576
B7 0.248 0.576 0.000
B8 0.328 0.752 0.752
B9 0.424 0.424 0.672
B10 0.424 0.672 0.424
B11 0.576 0.000 0.248
B12 0.576 0.248 0.000
B13 0.672 0.424 0.424
B14 0.752 0.328 0.752
B15 0.752 0.752 0.328
B16 0.777 0.777 0.777
Ir1 0.000 0.000 0.000
Ir2 0.000 0.323 0.818
Ir3 0.000 0.818 0.323
Ir4 0.182 0.182 0.505
Ir5 0.182 0.505 0.182
Ir6 0.250 0.500 0.750
Ir7 0.250 0.750 0.500
Ir8 0.323 0.000 0.818
Ir9 0.323 0.818 0.000
Ir10 0.495 0.677 0.677
Ir11 0.500 0.250 0.750
Ir12 0.500 0.750 0.250
Ir13 0.505 0.182 0.182
Ir14 0.677 0.495 0.677
Ir15 0.677 0.677 0.495
Ir16 0.750 0.250 0.500
Ir17 0.750 0.500 0.250
Ir18 0.818 0.000 0.323
Ir19 0.818 0.323 0.000

***

No. 5
MgBIr after structural relaxation. Source: the Alexandria database, functional GGA-PBEsol.

Output
Crystal system: hexagonal
Energy of formation from the pure elements: -453 meV/atom
Volume: 226.05 Å³/cell

Unit cell a=5.264 b=5.264 c=9.421 alpha=90.00 beta=90.00 gamma=120.00
Element x y z (fractional)
Mg1 0.000 0.000 0.000
Mg2 0.000 0.000 0.333
Mg3 0.000 0.000 0.667
Mg4 0.000 0.500 0.167
Mg5 0.500 0.000 0.500
Mg6 0.500 0.500 0.833
B1 0.206 0.603 0.667
B2 0.397 0.603 0.333
B3 0.397 0.794 0.000
B4 0.603 0.206 0.000
B5 0.603 0.397 0.333
B6 0.794 0.397 0.667
Ir1 0.000 0.500 0.456
Ir2 0.000 0.500 0.878
Ir3 0.500 0.000 0.211
Ir4 0.500 0.000 0.789
Ir5 0.500 0.500 0.122
Ir6 0.500 0.500 0.544

***

No. 6
MgBIr2 after structural relaxation. Source: the Alexandria database, functional GGA-PBEsol.

Output
Crystal system: cubic
Energy of formation from the pure elements: 142 meV/atom
Volume: 48.15 Å³/cell

Unit cell a=4.083 b=4.083 c=4.083 alpha=60.00 beta=60.00 gamma=60.00
Element x y z (fractional)
Mg1 0.000 0.000 0.000
B1 0.500 0.500 0.500
Ir1 0.250 0.250 0.250
Ir2 0.750 0.750 0.750

***

Number 1: mass density 10.39 g/cm³. Number 2: mass density 16.43 g/cm³. Number 3: mass density 14.83 g/cm³. Number 4: mass density 11.49 g/cm³. Number 5: mass density 10.02 g/cm³. Number 6: mass density 14.47 g/cm³.